Record 1
Compound: LaPmSmMg
Source: the Alexandria database
Functional: GGA-PBE
Structure: optimized geometry

## Properties
The energy relative to the lowest polymorph listed for this composition comes out at 84 meV per atom. For the formation energy from the elements, the calculation gives 47 meV per atom. The space group is F-43m, No. 216.

abc: 8.0335 8.0335 8.0335
angles: 90.00 90.00 90.00
Fractional positions:
La 0.0000 0.0000 0.0000
La 0.0000 0.5000 0.5000
La 0.5000 0.0000 0.5000
La 0.5000 0.5000 0.0000
Pm 0.2500 0.2500 0.2500
Pm 0.2500 0.7500 0.7500
Pm 0.7500 0.2500 0.7500
Pm 0.7500 0.7500 0.2500
Sm 0.0000 0.0000 0.5000
Sm 0.0000 0.5000 0.0000
Sm 0.5000 0.0000 0.0000
Sm 0.5000 0.5000 0.5000
Mg 0.2500 0.2500 0.7500
Mg 0.2500 0.7500 0.2500
Mg 0.7500 0.2500 0.2500
Mg 0.7500 0.7500 0.7500


Record 2
Compound: LaBeIn2
Source: the Alexandria database
Functional: GGA-PBE
Structure: optimized geometry

## Properties
For the formation energy from the elements, the calculation gives -144 meV per atom. The space group is R3m, No. 160.

abc: 4.4249 4.4249 17.6555
angles: 90.00 90.00 120.00
Fractional positions:
La 0.0000 0.0000 0.0000
La 0.3333 0.6667 0.6667
La 0.6667 0.3333 0.3333
Be 0.0000 0.0000 0.2167
Be 0.3333 0.6667 0.8834
Be 0.6667 0.3333 0.5501
In 0.0000 0.0000 0.5470
In 0.0000 0.0000 0.7900
In 0.3333 0.6667 0.2136
In 0.3333 0.6667 0.4567
In 0.6667 0.3333 0.1234
In 0.6667 0.3333 0.8803


Record 3
Compound: Ac2HoCu9
Source: the Alexandria database
Functional: GGA-PBE
Structure: optimized geometry

## Properties
For the formation energy from the elements, the calculation gives -79 meV per atom. The space group is R-3m, No. 166.

abc: 9.3682 9.3682 9.3682
angles: 32.45 32.45 32.45
Fractional positions:
Ac 0.1356 0.1356 0.1356
Ac 0.8644 0.8644 0.8644
Ho 0.0000 0.0000 0.0000
Cu 0.0786 0.5737 0.5737
Cu 0.3323 0.3323 0.3323
Cu 0.4263 0.4263 0.9214
Cu 0.4263 0.9214 0.4263
Cu 0.5000 0.5000 0.5000
Cu 0.5737 0.0786 0.5737
Cu 0.5737 0.5737 0.0786
Cu 0.6677 0.6677 0.6677
Cu 0.9214 0.4263 0.4263


Record 4
Compound: TaHgTe2
Source: the Alexandria database
Functional: GGA-PBE
Structure: optimized geometry

## Properties
The calculation puts the formation energy from raw total energies at -0.11 eV/atom. The space group is C2/c, No. 15.

abc: 5.8978 16.5054 5.7877
angles: 90.00 119.53 90.00
Fractional positions:
Ta 0.0000 0.2499 0.2500
Ta 0.0000 0.7501 0.7500
Ta 0.5000 0.2501 0.7500
Ta 0.5000 0.7499 0.2500
Hg 0.0000 0.1977 0.7500
Hg 0.0000 0.8023 0.2500
Hg 0.5000 0.3023 0.2500
Hg 0.5000 0.6977 0.7500
Te 0.1604 0.3830 0.5985
Te 0.1604 0.6170 0.0985
Te 0.3396 0.1170 0.4015
Te 0.3396 0.8830 0.9015
Te 0.6604 0.1170 0.0985
Te 0.6604 0.8830 0.5985
Te 0.8396 0.3830 0.9015
Te 0.8396 0.6170 0.4015


Record 5
Compound: AcY2Ni
Source: the Alexandria database
Functional: GGA-PBE
Structure: optimized geometry

## Properties
The energy relative to the lowest polymorph listed for this composition comes out at 60 meV per atom. For the formation energy from the elements, the calculation gives -103 meV per atom. The space group is R-3m, No. 166.

abc: 3.9503 3.9503 27.9449
angles: 90.00 90.00 120.00
Fractional positions:
Ac 0.0000 0.0000 0.0000
Ac 0.3333 0.6667 0.6667
Ac 0.6667 0.3333 0.3333
Y 0.0000 0.0000 0.2199
Y 0.0000 0.0000 0.7801
Y 0.3333 0.6667 0.4468
Y 0.3333 0.6667 0.8865
Y 0.6667 0.3333 0.1135
Y 0.6667 0.3333 0.5532
Ni 0.0000 0.0000 0.5000
Ni 0.3333 0.6667 0.1667
Ni 0.6667 0.3333 0.8333


Record 6
Compound: CeInPb4
Source: the Alexandria database
Functional: GGA-PBE
Structure: optimized geometry

## Properties
For the formation energy from the elements, the calculation gives -87 meV per atom. The space group is Pmma, No. 51.

abc: 7.0594 5.8116 9.0622
angles: 90.00 90.00 90.00
Fractional positions:
Ce 0.2500 0.0000 0.1778
Ce 0.7500 0.0000 0.8222
In 0.2500 0.0000 0.8111
In 0.7500 0.0000 0.1889
Pb 0.0000 0.0000 0.5000
Pb 0.0221 0.5000 0.8245
Pb 0.2500 0.5000 0.4722
Pb 0.4779 0.5000 0.8245
Pb 0.5000 0.0000 0.5000
Pb 0.5221 0.5000 0.1755
Pb 0.7500 0.5000 0.5278
Pb 0.9779 0.5000 0.1755


Record 7
Compound: ReHg2PBr
Source: the Alexandria database
Functional: GGA-PBE
Structure: optimized geometry

## Properties
The calculation puts the formation energy from raw total energies at 1.91 eV/atom. The space group is P4/mmm, No. 123.

abc: 5.6826 5.6826 4.7119
angles: 90.00 90.00 90.00
Fractional positions:
Re 0.0000 0.0000 0.0000
Hg 0.0000 0.5000 0.5000
Hg 0.5000 0.0000 0.5000
P 0.5000 0.5000 0.0000
Br 0.0000 0.0000 0.5000


Record 8
Compound: YCu3As3
Source: the Alexandria database
Functional: GGA-PBE
Structure: optimized geometry

## Properties
For the formation energy from the elements, the calculation gives -49 meV per atom. The space group is Pm-3n, No. 223.

abc: 6.5897 6.5897 6.5897
angles: 90.00 90.00 90.00
Fractional positions:
Y 0.0000 0.0000 0.0000
Y 0.5000 0.5000 0.5000
Cu 0.0000 0.2500 0.5000
Cu 0.0000 0.7500 0.5000
Cu 0.2500 0.5000 0.0000
Cu 0.5000 0.0000 0.2500
Cu 0.5000 0.0000 0.7500
Cu 0.7500 0.5000 0.0000
As 0.0000 0.5000 0.2500
As 0.0000 0.5000 0.7500
As 0.2500 0.0000 0.5000
As 0.5000 0.2500 0.0000
As 0.5000 0.7500 0.0000
As 0.7500 0.0000 0.5000


Record 9
Compound: Li2Sn2Se3
Source: the Alexandria database
Functional: GGA-PBE
Structure: optimized geometry

## Properties
The energy relative to the lowest polymorph listed for this composition comes out at 0 meV per atom. The calculation puts the formation energy from raw total energies at -0.76 eV/atom. The space group is C2/m, No. 12.

abc: 13.7180 4.3181 6.7578
angles: 90.00 117.67 90.00
Fractional positions:
Li 0.1948 0.0000 0.0632
Li 0.3052 0.5000 0.9368
Li 0.6948 0.5000 0.0632
Li 0.8052 0.0000 0.9368
Sn 0.0930 0.5000 0.3495
Sn 0.4070 0.0000 0.6505
Sn 0.5930 0.0000 0.3495
Sn 0.9070 0.5000 0.6505
Se 0.0000 0.0000 0.0000
Se 0.2205 0.0000 0.7065
Se 0.2795 0.5000 0.2935
Se 0.5000 0.5000 0.0000
Se 0.7205 0.5000 0.7065
Se 0.7795 0.0000 0.2935


Record 10
Compound: Zn5Ag3F12
Source: the Alexandria database
Functional: GGA-PBE
Structure: optimized geometry

## Properties
The calculation puts the formation energy from raw total energies at -1.82 eV/atom. The space group is Ia-3d, No. 230.

abc: 11.5045 11.5045 11.5045
angles: 109.47 109.47 109.47
Fractional positions:
Zn 0.0000 0.0000 0.0000
Zn 0.0000 0.0000 0.5000
Zn 0.0000 0.5000 0.0000
Zn 0.0000 0.5000 0.5000
Zn 0.1250 0.7500 0.8750
Zn 0.1250 0.8750 0.2500
Zn 0.2500 0.1250 0.8750
Zn 0.2500 0.6250 0.3750
Zn 0.3750 0.2500 0.6250
Zn 0.3750 0.6250 0.7500
Zn 0.5000 0.0000 0.0000
Zn 0.5000 0.0000 0.5000
Zn 0.5000 0.5000 0.0000
Zn 0.5000 0.5000 0.5000
Zn 0.6250 0.3750 0.2500
Zn 0.6250 0.7500 0.3750
Zn 0.7500 0.3750 0.6250
Zn 0.7500 0.8750 0.1250
Zn 0.8750 0.1250 0.7500
Zn 0.8750 0.2500 0.1250
Ag 0.1250 0.2500 0.3750
Ag 0.1250 0.3750 0.7500
Ag 0.2500 0.3750 0.1250
Ag 0.2500 0.8750 0.6250
Ag 0.3750 0.1250 0.2500
Ag 0.3750 0.7500 0.1250
Ag 0.6250 0.2500 0.8750
Ag 0.6250 0.8750 0.7500
Ag 0.7500 0.1250 0.3750
Ag 0.7500 0.6250 0.8750
Ag 0.8750 0.6250 0.2500
Ag 0.8750 0.7500 0.6250
F 0.0157 0.1947 0.1105
F 0.0157 0.3210 0.9052
F 0.0843 0.6947 0.6790
F 0.0843 0.8895 0.4052
F 0.0948 0.6105 0.4157
F 0.0948 0.9843 0.6790
F 0.1105 0.0157 0.1947
F 0.1105 0.5948 0.9157
F 0.1790 0.1947 0.5843
F 0.1790 0.4843 0.5948
F 0.1947 0.1105 0.0157
F 0.1947 0.5843 0.1790
F 0.3053 0.3210 0.9157
F 0.3053 0.4843 0.3895
F 0.3210 0.9052 0.0157
F 0.3210 0.9157 0.3053
F 0.3895 0.3053 0.4843
F 0.3895 0.5843 0.9052
F 0.4052 0.0843 0.8895
F 0.4052 0.8210 0.5157
F 0.4157 0.0948 0.6105
F 0.4157 0.8210 0.8053
F 0.4843 0.3895 0.3053
F 0.4843 0.5948 0.1790
F 0.5157 0.4052 0.8210
F 0.5157 0.6105 0.6947
F 0.5843 0.1790 0.1947
F 0.5843 0.9052 0.3895
F 0.5948 0.1790 0.4843
F 0.5948 0.9157 0.1105
F 0.6105 0.4157 0.0948
F 0.6105 0.6947 0.5157
F 0.6790 0.0843 0.6947
F 0.6790 0.0948 0.9843
F 0.6947 0.5157 0.6105
F 0.6947 0.6790 0.0843
F 0.8053 0.4157 0.8210
F 0.8053 0.8895 0.9843
F 0.8210 0.5157 0.4052
F 0.8210 0.8053 0.4157
F 0.8895 0.4052 0.0843
F 0.8895 0.9843 0.8053
F 0.9052 0.0157 0.3210
F 0.9052 0.3895 0.5843
F 0.9157 0.1105 0.5948
F 0.9157 0.3053 0.3210
F 0.9843 0.6790 0.0948
F 0.9843 0.8053 0.8895


Record 11
Compound: PuBi2Pb2
Source: the Alexandria database
Functional: GGA-PBE
Structure: optimized geometry

## Properties
For the formation energy from the elements, the calculation gives -162 meV per atom. The space group is Cmcm, No. 63.

abc: 13.9221 13.9221 4.7518
angles: 90.00 90.00 160.69
Fractional positions:
Pu 0.1582 0.8418 0.7500
Pu 0.8418 0.1582 0.2500
Bi 0.2498 0.7502 0.2500
Bi 0.3574 0.6426 0.7500
Bi 0.6426 0.3574 0.2500
Bi 0.7502 0.2498 0.7500
Pb 0.0528 0.9472 0.2500
Pb 0.4485 0.5515 0.2500
Pb 0.5515 0.4485 0.7500
Pb 0.9472 0.0528 0.7500


Record 12
Compound: LiNd3Pb5
Source: the Alexandria database
Functional: GGA-PBE
Structure: optimized geometry

## Properties
For the formation energy from the elements, the calculation gives -409 meV per atom. The space group is P6_3/mcm, No. 193.

abc: 9.5909 9.5909 6.5126
angles: 90.00 90.00 120.00
Fractional positions:
Li 0.0000 0.0000 0.0000
Li 0.0000 0.0000 0.5000
Nd 0.0000 0.3810 0.2500
Nd 0.0000 0.6190 0.7500
Nd 0.3810 0.0000 0.2500
Nd 0.3810 0.3810 0.7500
Nd 0.6190 0.0000 0.7500
Nd 0.6190 0.6190 0.2500
Pb 0.0000 0.2680 0.7500
Pb 0.0000 0.7320 0.2500
Pb 0.2680 0.0000 0.7500
Pb 0.2680 0.2680 0.2500
Pb 0.3333 0.6667 0.0000
Pb 0.3333 0.6667 0.5000
Pb 0.6667 0.3333 0.0000
Pb 0.6667 0.3333 0.5000
Pb 0.7320 0.0000 0.2500
Pb 0.7320 0.7320 0.7500


Record 13
Compound: MgSi2Ir
Source: the Alexandria database
Functional: GGA-PBE
Structure: optimized geometry

## Properties
The calculation puts the formation energy from raw total energies at -0.11 eV/atom. The space group is Immm, No. 71.

abc: 2.7994 4.5947 10.2107
angles: 90.00 90.00 90.00
Fractional positions:
Mg 0.0000 0.0000 0.0000
Mg 0.5000 0.5000 0.5000
Si 0.0000 0.5000 0.2016
Si 0.0000 0.5000 0.7984
Si 0.5000 0.0000 0.2984
Si 0.5000 0.0000 0.7016
Ir 0.0000 0.0000 0.5000
Ir 0.5000 0.5000 0.0000


Record 14
Compound: La2Dy2YTm2
Source: the Alexandria database
Functional: GGA-PBE
Structure: optimized geometry

## Properties
For the formation energy from the elements, the calculation gives 88 meV per atom. The space group is C2/m, No. 12.

abc: 11.7869 3.5204 11.8790
angles: 90.00 108.82 90.00
Fractional positions:
La 0.1734 0.0000 0.0854
La 0.3266 0.5000 0.9146
La 0.6734 0.5000 0.0854
La 0.8266 0.0000 0.9146
Dy 0.2264 0.5000 0.3660
Dy 0.2736 0.0000 0.6340
Dy 0.7264 0.0000 0.3660
Dy 0.7736 0.5000 0.6340
Y 0.0000 0.5000 0.5000
Y 0.5000 0.0000 0.5000
Tm 0.0484 0.0000 0.7684
Tm 0.4516 0.5000 0.2316
Tm 0.5484 0.5000 0.7684
Tm 0.9516 0.0000 0.2316


Record 15
Compound: AcEuInAu
Source: the Alexandria database
Functional: GGA-PBE
Structure: optimized geometry

## Properties
For the formation energy from the elements, the calculation gives -579 meV per atom. The space group is F-43m, No. 216.

abc: 7.8777 7.8777 7.8777
angles: 90.00 90.00 90.00
Fractional positions:
Ac 0.0000 0.0000 0.0000
Ac 0.0000 0.5000 0.5000
Ac 0.5000 0.0000 0.5000
Ac 0.5000 0.5000 0.0000
Eu 0.0000 0.0000 0.5000
Eu 0.0000 0.5000 0.0000
Eu 0.5000 0.0000 0.0000
Eu 0.5000 0.5000 0.5000
In 0.2500 0.2500 0.7500
In 0.2500 0.7500 0.2500
In 0.7500 0.2500 0.2500
In 0.7500 0.7500 0.7500
Au 0.2500 0.2500 0.2500
Au 0.2500 0.7500 0.7500
Au 0.7500 0.2500 0.7500
Au 0.7500 0.7500 0.2500


Record 16
Compound: TlPdPb2
Source: the Alexandria database
Functional: GGA-PBE
Structure: optimized geometry

## Properties
The energy relative to the lowest polymorph listed for this composition comes out at 107 meV per atom. For the formation energy from the elements, the calculation gives -28 meV per atom. The space group is R-3m, No. 166.

abc: 3.4326 3.4326 32.3794
angles: 90.00 90.00 120.00
Fractional positions:
Tl 0.0000 0.0000 0.0000
Tl 0.3333 0.6667 0.6667
Tl 0.6667 0.3333 0.3333
Pd 0.0000 0.0000 0.5000
Pd 0.3333 0.6667 0.1667
Pd 0.6667 0.3333 0.8333
Pb 0.0000 0.0000 0.1017
Pb 0.0000 0.0000 0.8983
Pb 0.3333 0.6667 0.5649
Pb 0.3333 0.6667 0.7684
Pb 0.6667 0.3333 0.2316
Pb 0.6667 0.3333 0.4351


Record 17
Compound: BaCaC2
Source: the Alexandria database
Functional: GGA-PBE
Structure: optimized geometry

## Properties
The energy relative to the lowest polymorph listed for this composition comes out at 114 meV per atom. For the formation energy from the elements, the calculation gives 1533 meV per atom. The space group is I-42d, No. 122.

abc: 5.0667 5.0667 15.2441
angles: 90.00 90.00 90.00
Fractional positions:
Ba 0.0000 0.0000 0.0000
Ba 0.0000 0.5000 0.2500
Ba 0.5000 0.0000 0.7500
Ba 0.5000 0.5000 0.5000
Ca 0.0000 0.0000 0.5000
Ca 0.0000 0.5000 0.7500
Ca 0.5000 0.0000 0.2500
Ca 0.5000 0.5000 0.0000
C 0.1328 0.2500 0.6250
C 0.2500 0.6328 0.8750
C 0.2500 0.8672 0.3750
C 0.3672 0.2500 0.1250
C 0.6328 0.7500 0.1250
C 0.7500 0.1328 0.3750
C 0.7500 0.3672 0.8750
C 0.8672 0.7500 0.6250


Record 18
Compound: Nd2PbO5
Source: the Alexandria database
Functional: GGA-PBE
Structure: optimized geometry

## Properties
The calculation puts the formation energy from raw total energies at -2.44 eV/atom. The space group is Pnma, No. 62.

abc: 11.1780 3.9574 12.0280
angles: 90.00 90.00 90.00
Fractional positions:
Nd 0.1212 0.2500 0.2322
Nd 0.1281 0.2500 0.5644
Nd 0.3719 0.7500 0.0644
Nd 0.3788 0.7500 0.7322
Nd 0.6212 0.2500 0.2678
Nd 0.6281 0.2500 0.9356
Nd 0.8719 0.7500 0.4356
Nd 0.8788 0.7500 0.7678
Pb 0.1634 0.2500 0.8929
Pb 0.3366 0.7500 0.3929
Pb 0.6634 0.2500 0.6071
Pb 0.8366 0.7500 0.1071
O 0.0065 0.7500 0.6015
O 0.0113 0.7500 0.1644
O 0.2295 0.2500 0.0574
O 0.2484 0.7500 0.8952
O 0.2501 0.2500 0.7329
O 0.2499 0.7500 0.2329
O 0.2516 0.2500 0.3952
O 0.2705 0.7500 0.5574
O 0.4887 0.2500 0.6644
O 0.4935 0.2500 0.1015
O 0.5065 0.7500 0.8985
O 0.5113 0.7500 0.3356
O 0.7295 0.2500 0.4426
O 0.7484 0.7500 0.6048
O 0.7501 0.2500 0.7671
O 0.7499 0.7500 0.2671
O 0.7516 0.2500 0.1048
O 0.7705 0.7500 0.9426
O 0.9887 0.2500 0.8356
O 0.9935 0.2500 0.3985


Record 19
Compound: RbTiCuSe4
Source: the Alexandria database
Functional: GGA-PBE
Structure: optimized geometry

## Properties
The calculation puts the formation energy from raw total energies at -0.69 eV/atom. The space group is P2_1/m, No. 11.

abc: 6.7025 5.5669 9.8009
angles: 90.00 108.45 90.00
Fractional positions:
Rb 0.2242 0.2500 0.0447
Rb 0.7758 0.7500 0.9553
Ti 0.2722 0.2500 0.5562
Ti 0.7278 0.7500 0.4438
Cu 0.2774 0.7500 0.3297
Cu 0.7226 0.2500 0.6703
Se 0.0145 0.5134 0.6722
Se 0.0145 0.9866 0.6722
Se 0.4495 0.7500 0.5823
Se 0.4891 0.7500 0.1831
Se 0.5109 0.2500 0.8169
Se 0.5505 0.2500 0.4177
Se 0.9855 0.0134 0.3278
Se 0.9855 0.4866 0.3278


Record 20
Compound: Cd4IrSe
Source: the Alexandria database
Functional: GGA-PBE
Structure: optimized geometry

## Properties
The calculation puts the formation energy from raw total energies at 0.50 eV/atom. The space group is F-43m, No. 216.

abc: 5.6042 5.6042 5.6042
angles: 60.00 60.00 60.00
Fractional positions:
Cd 0.1246 0.1246 0.1246
Cd 0.1246 0.1246 0.6262
Cd 0.1246 0.6262 0.1246
Cd 0.6262 0.1246 0.1246
Ir 0.7500 0.7500 0.7500
Se 0.5000 0.5000 0.5000